VASP calculation (GGA-PBE) on a geometry-optimized Pm3Nd4Cd structure.

Cell lengths 4.1892, 4.1892, 15.0475 Å; angles 90.00, 90.00, 90.00 degrees
Fractional coordinates of all 8 atoms:
Nd 0.0000 0.0000 0.6228
Nd 0.0000 0.0000 0.8863
Nd 0.0000 0.0000 0.3772
Nd 0.0000 0.0000 0.1137
Pm 0.5000 0.5000 0.5000
Pm 0.5000 0.5000 0.7481
Pm 0.5000 0.5000 0.2519
Cd 0.5000 0.5000 0.0000

Fermi-level density of states = 1.613 states/eV per atom
crystal system = tetragonal
E = -34.08 eV per cell

VASP calculation (GGA-PBE) on a geometry-optimized TbMgCdAu structure.

Cell lengths 4.9944, 4.9944, 4.9944 Å; angles 60.00, 60.00, 60.00 degrees
Fractional coordinates of all 4 atoms:
Au 0.2500 0.2500 0.2500
Tb 0.5000 0.5000 0.5000
Cd 0.7500 0.7500 0.7500
Mg 0.0000 0.0000 0.0000

Fermi-level density of states = 0.371 states/eV per atom
crystal system = cubic
E = -12.59 eV per cell